# MnVCu2 (GGA-PBE, optimized geometry)
data_MnVCu2
_cell_length_a 5.9384
_cell_length_b 5.9384
_cell_length_c 5.9384
_cell_angle_alpha 90.00
_cell_angle_beta 90.00
_cell_angle_gamma 90.00
_space_group_name_H-M_alt 'F m -3 m'
_space_group_IT_number 225
_space_group_name_Hall '-F 4 2 3'
loop_
_atom_site_label
_atom_site_type_symbol
_atom_site_fract_x
_atom_site_fract_y
_atom_site_fract_z
Mn1 Mn 0.0000 0.0000 0.0000
V1 V 0.0000 0.0000 0.5000
Cu1 Cu 0.2500 0.2500 0.2500
# E: -6.40 eV/atom
# Formation energy from the elements: 0.90 eV per formula unit
# Fermi-level density of states: 4.05 states/eV/f.u.
# Calculated volume: 209 Å³/cell